Entry 1:
First-principles (GGA-PBEsol) data for crystalline MnCrN2 at its relaxed geometry, as listed in the Alexandria database.

## Properties
SG = I-42d, No. 122
ΔE_f (raw) = -0.494 eV per atom

a = 4.279 Å, b = 4.279 Å, c = 5.247 Å
α = 114.01°, β = 114.01°, γ = 89.96°
Each line ends with the local moment (μB).
Fractional coordinates of all 8 atoms:
N1 0.373 0.875 0.250  -0.07
Cr1 0.500 0.500 0.000  1.52
N2 0.625 0.627 0.750  -0.07
Cr2 0.750 0.250 0.500  1.52
N3 0.877 0.375 0.250  -0.07
Mn1 0.000 0.000 0.000  1.47
N4 0.125 0.123 0.750  -0.07
Mn2 0.250 0.750 0.500  1.47


Entry 2:
First-principles (GGA-PBEsol) data for crystalline MnCrN3 at its relaxed geometry, as listed in the Alexandria database.

## Properties
SG = Pm-3m, No. 221
ΔE_f (raw) = 0.565 eV per atom

a = 3.669 Å, b = 3.669 Å, c = 3.669 Å
α = 90.00°, β = 90.00°, γ = 90.00°
Each line ends with the local moment (μB).
Fractional coordinates of all 5 atoms:
Cr1 0.000 0.000 0.000  0.52
Mn1 0.500 0.500 0.500  4.16
N1 0.000 0.500 0.000  -0.27
N2 0.500 0.000 0.000  -0.27
N3 0.000 0.000 0.500  -0.27